(1)
! Y16Se16F15 PBE relaxed; values from VASP
! ΔE_f (raw), eV per atom: -2.8074
! ρ, g/cm³: 4.68
! Total magnetic moment, μB per atom: 0.021
! Space group: Pm
&SYSTEM
  ibrav = 0, nat = 47, ntyp = 3
/
ATOMIC_SPECIES
Y 88.91 Y.upf
Se 78.96 Se.upf
F 19.00 F.upf
CELL_PARAMETERS angstrom
-3.4285 -1.2156 -1.9620
5.1850 -0.8600 -8.5276
7.0952 -24.5227 2.7951
ATOMIC_POSITIONS crystal
Y 0.5000 0.4014 0.5592
Y 0.0000 0.5989 0.4409
Y 0.5000 0.3161 0.8080
Y 0.0000 0.6855 0.1919
Y 0.5000 0.0633 0.0618
Y 0.0000 0.9409 0.9392
Y 0.5000 0.9849 0.3161
Y 0.0000 0.0156 0.6842
Y 0.5000 0.8992 0.5662
Y 0.0000 0.1014 0.4340
Y 0.5000 0.8181 0.8192
Y 0.0000 0.1822 0.1811
Y 0.5000 0.5691 0.0625
Y 0.0000 0.4292 0.9384
Y 0.5000 0.4836 0.3084
Y 0.0000 0.5174 0.6915
Se 0.5000 0.5393 0.8673
Se 0.0000 0.4603 0.1339
Se 0.5000 0.6269 0.6163
Se 0.0000 0.3736 0.3833
Se 0.5000 0.3328 0.0105
Se 0.0000 0.6699 0.9907
Se 0.5000 0.7982 0.1174
Se 0.0000 0.2024 0.8823
Se 0.5000 0.1628 0.5086
Se 0.0000 0.8377 0.4912
Se 0.5000 0.7101 0.3656
Se 0.0000 0.2905 0.6342
Se 0.5000 0.2466 0.2563
Se 0.0000 0.7537 0.7433
Se 0.5000 0.0780 0.7586
Se 0.0000 0.9231 0.2414
F 0.5000 0.1518 0.1451
F 0.0000 0.8479 0.8541
F 0.5000 0.9845 0.6478
F 0.0000 0.0161 0.3521
F 0.5000 0.4590 0.7273
F 0.0000 0.5414 0.2725
F 0.5000 0.9011 0.8996
F 0.0000 0.0982 0.0983
F 0.5000 0.6271 0.2274
F 0.0000 0.3750 0.7728
F 0.5000 0.5420 0.4769
F 0.0000 0.4584 0.5228
F 0.5000 0.0700 0.3976
F 0.0000 0.9307 0.6023
F 0.5000 0.9802 0.9849

(2)
! YSeF2 PBE relaxed; values from VASP
! ΔE_f (raw), eV per atom: -1.3634
! ρ, g/cm³: 3.67
! Total magnetic moment, μB per atom: 0.264
! ΔE to the lowest computed polymorph, meV/atom: 1324
! Space group: R-3m
&SYSTEM
  ibrav = 0, nat = 4, ntyp = 3
/
ATOMIC_SPECIES
Y 88.91 Y.upf
Se 78.96 Se.upf
F 19.00 F.upf
CELL_PARAMETERS angstrom
1.9774 0.0000 9.1658
-0.9887 1.7125 9.1658
-0.9887 -1.7125 9.1658
ATOMIC_POSITIONS crystal
Y 0.0000 0.0000 0.0000
Se 0.5000 0.5000 0.5000
F 0.9253 0.9253 0.9253
F 0.0747 0.0747 0.0747

(3)
! YSe3F PBE relaxed; values from VASP
! ΔE_f (raw), eV per atom: -0.5952
! ρ, g/cm³: 5.51
! Total magnetic moment, μB per atom: 0.000
! Space group: Pm-3m
&SYSTEM
  ibrav = 0, nat = 5, ntyp = 3
/
ATOMIC_SPECIES
Y 88.91 Y.upf
Se 78.96 Se.upf
F 19.00 F.upf
CELL_PARAMETERS angstrom
-3.1058 -1.2277 -3.3096
3.5299 -1.0407 -2.9264
0.0316 -4.4177 1.6091
ATOMIC_POSITIONS crystal
Y 0.5000 0.5000 0.5000
Se 0.0000 0.5000 0.0000
Se 0.0000 0.0000 0.5000
Se 0.5000 0.0000 0.0000
F 0.0000 0.0000 0.0000